1.
Material: SiPtPb2
Method: DFT, GGA-PBEsol
State: relaxed

Unit cell a=4.6904 b=4.6904 c=3.8776 alpha=90.00 beta=90.00 gamma=90.00
Positions (direct):
Si 0.0000 0.0000 0.0000
Pt 0.5000 0.5000 0.0000
Pb 0.0000 0.5000 0.5000
Pb 0.5000 0.0000 0.5000

The total magnetic moment comes out at 0.000 μB per atom. The uncorrected formation energy is 28.6 kJ per mole of atoms. Its electronic total energy is -0.3587 Ry per atom. As for the density of states at the Fermi level: 1.6 states/eV per cell.

***

2.
Material: Ca3TlOs
Method: DFT, GGA-PBEsol
State: relaxed

Unit cell a=5.3998 b=5.3998 c=5.3998 alpha=90.00 beta=90.00 gamma=90.00
Positions (direct):
Ca 0.0000 0.0000 0.5000
Ca 0.0000 0.5000 0.0000
Ca 0.5000 0.0000 0.0000
Tl 0.5000 0.5000 0.5000
Os 0.0000 0.0000 0.0000

The total magnetic moment comes out at 0.002 μB per atom. As for the formation energy: 0.302 eV per atom. Its electronic total energy is -0.2901 Ry per atom. As for the density of states at the Fermi level: 4.5 states/eV per cell.

***

3.
Material: Zn3Cu6As4S12
Method: DFT, GGA-PBEsol
State: relaxed

Unit cell a=8.2263 b=8.2678 c=8.2887 alpha=107.50 beta=107.48 gamma=107.16
Positions (direct):
Zn 0.0000 0.0000 0.0000
Zn 0.1583 0.4812 0.3743
Zn 0.3275 0.9463 0.7591
Cu 0.0908 0.2385 0.6925
Cu 0.2218 0.6908 0.0604
Cu 0.3853 0.1759 0.4658
Cu 0.6301 0.8570 0.5187
Cu 0.6898 0.0812 0.2161
Cu 0.8378 0.5436 0.6028
As 0.4954 0.4062 0.1483
As 0.5523 0.6208 0.8592
As 0.7668 0.3457 0.9173
As 0.8968 0.7618 0.2734
S 0.0535 0.6943 0.5146
S 0.1492 0.9132 0.2223
S 0.2197 0.1477 0.9076
S 0.2916 0.3877 0.5966
S 0.3769 0.6071 0.2761
S 0.4372 0.8319 0.9698
S 0.5416 0.0744 0.6581
S 0.5908 0.2899 0.3550
S 0.7424 0.7578 0.7378
S 0.8457 0.0018 0.4349
S 0.9009 0.2247 0.1216
S 0.9781 0.4424 0.8066

The total magnetic moment comes out at 0.000 μB per atom. The uncorrected formation energy is -34.4 kJ per mole of atoms. Its electronic total energy is -0.3313 Ry per atom.

***

4.
Material: LaTiTc2
Method: DFT, GGA-PBEsol
State: relaxed

Unit cell a=6.5113 b=6.5113 c=6.5113 alpha=90.00 beta=90.00 gamma=90.00
Positions (direct):
La 0.0000 0.0000 0.0000
La 0.0000 0.5000 0.5000
La 0.5000 0.0000 0.5000
La 0.5000 0.5000 0.0000
Ti 0.0000 0.0000 0.5000
Ti 0.0000 0.5000 0.0000
Ti 0.5000 0.0000 0.0000
Ti 0.5000 0.5000 0.5000
Tc 0.2500 0.2500 0.2500
Tc 0.2500 0.2500 0.7500
Tc 0.2500 0.7500 0.2500
Tc 0.2500 0.7500 0.7500
Tc 0.7500 0.2500 0.2500
Tc 0.7500 0.2500 0.7500
Tc 0.7500 0.7500 0.2500
Tc 0.7500 0.7500 0.7500

The total magnetic moment comes out at 0.000 μB per atom. As for the formation energy: 0.114 eV per atom. Its electronic total energy is -0.6568 Ry per atom. As for the density of states at the Fermi level: 11.9 states/eV per cell.

***

5.
Material: ZnAgSb2Te
Method: DFT, GGA-PBEsol
State: relaxed

Unit cell a=5.2777 b=5.2777 c=5.3686 alpha=90.00 beta=90.00 gamma=90.00
Positions (direct):
Zn 0.0000 0.0000 0.0000
Ag 0.5000 0.5000 0.5000
Sb 0.0000 0.5000 0.5000
Sb 0.5000 0.0000 0.5000
Te 0.5000 0.5000 0.0000

The total magnetic moment comes out at 0.000 μB per atom. The uncorrected formation energy is 74.7 kJ per mole of atoms. Its electronic total energy is -0.2008 Ry per atom. As for the density of states at the Fermi level: 5.7 states/eV per cell.

***

6.
Material: TeOsSCl2
Method: DFT, GGA-PBEsol
State: relaxed

Unit cell a=4.7315 b=4.7315 c=4.5290 alpha=90.00 beta=90.00 gamma=90.00
Positions (direct):
Te 0.0000 0.0000 0.0000
Os 0.5000 0.5000 0.5000
S 0.5000 0.5000 0.0000
Cl 0.0000 0.5000 0.5000
Cl 0.5000 0.0000 0.5000

As for the distance to the lowest polymorph of the same formula: 0 meV/atom. The total magnetic moment comes out at 0.000 μB per atom. The uncorrected formation energy is 35.0 kJ per mole of atoms. Its electronic total energy is -0.3282 Ry per atom. As for the density of states at the Fermi level: 3.8 states/eV per cell.

***

7.
Material: Na2Ge2S5
Method: DFT, GGA-PBEsol
State: relaxed

Unit cell a=9.0461 b=9.0461 c=10.4383 alpha=90.00 beta=90.00 gamma=90.24
Positions (direct):
Na 0.0789 0.5799 0.7500
Na 0.1465 0.1465 0.0000
Na 0.1465 0.1465 0.5000
Na 0.4201 0.9211 0.7500
Na 0.5799 0.0789 0.2500
Na 0.8535 0.8535 0.0000
Na 0.8535 0.8535 0.5000
Na 0.9211 0.4201 0.2500
Ge 0.2574 0.7426 0.0788
Ge 0.2574 0.7426 0.4212
Ge 0.3183 0.4036 0.2500
Ge 0.4036 0.3183 0.7500
Ge 0.5964 0.6817 0.2500
Ge 0.6817 0.5964 0.7500
Ge 0.7426 0.2574 0.5788
Ge 0.7426 0.2574 0.9212
S 0.1537 0.8463 0.2500
S 0.1575 0.8425 0.5871
S 0.1575 0.8425 0.9129
S 0.1710 0.2726 0.7500
S 0.2087 0.4991 0.0752
S 0.2087 0.4991 0.4248
S 0.2726 0.1710 0.2500
S 0.4385 0.5615 0.7500
S 0.4991 0.2087 0.5752
S 0.4991 0.2087 0.9248
S 0.5009 0.7913 0.0752
S 0.5009 0.7913 0.4248
S 0.5615 0.4385 0.2500
S 0.7274 0.8290 0.7500
S 0.7913 0.5009 0.5752
S 0.7913 0.5009 0.9248
S 0.8290 0.7274 0.2500
S 0.8425 0.1575 0.0871
S 0.8425 0.1575 0.4129
S 0.8463 0.1537 0.7500

The total magnetic moment comes out at 0.000 μB per atom. The uncorrected formation energy is -66.1 kJ per mole of atoms. Its electronic total energy is -0.3329 Ry per atom. As for the density of states at the Fermi level: 0.0 states/eV per cell.

***

8.
Material: BeInOs
Method: DFT, GGA-PBEsol
State: relaxed

Unit cell a=5.9456 b=5.9456 c=5.9456 alpha=90.00 beta=90.00 gamma=90.00
Positions (direct):
Be 0.0000 0.0000 0.0000
Be 0.0000 0.5000 0.5000
Be 0.5000 0.0000 0.5000
Be 0.5000 0.5000 0.0000
In 0.2500 0.2500 0.7500
In 0.2500 0.7500 0.2500
In 0.7500 0.2500 0.2500
In 0.7500 0.7500 0.7500
Os 0.0000 0.0000 0.5000
Os 0.0000 0.5000 0.0000
Os 0.5000 0.0000 0.0000
Os 0.5000 0.5000 0.5000

As for the distance to the lowest polymorph of the same formula: 688 meV/atom. The total magnetic moment comes out at 0.000 μB per atom. As for the formation energy: 1.158 eV per atom. Its electronic total energy is -0.3852 Ry per atom. As for the density of states at the Fermi level: 6.5 states/eV per cell.

***

9.
Material: Ca2Cu2As
Method: DFT, GGA-PBEsol
State: relaxed

Unit cell a=5.5985 b=5.5985 c=6.8785 alpha=90.00 beta=90.00 gamma=90.00
Positions (direct):
Ca 0.0000 0.5000 0.2500
Ca 0.0000 0.5000 0.7500
Ca 0.5000 0.0000 0.2500
Ca 0.5000 0.0000 0.7500
Cu 0.0000 0.0000 0.1615
Cu 0.0000 0.0000 0.8385
Cu 0.5000 0.5000 0.3385
Cu 0.5000 0.5000 0.6615
As 0.0000 0.0000 0.5000
As 0.5000 0.5000 0.0000

The total magnetic moment comes out at 0.000 μB per atom. As for the formation energy: -0.208 eV per atom. Its electronic total energy is -0.2805 Ry per atom. As for the density of states at the Fermi level: 6.3 states/eV per cell.

***

10.
Material: YCoTe2I
Method: DFT, GGA-PBEsol
State: relaxed

Unit cell a=5.0313 b=5.0313 c=5.0547 alpha=90.00 beta=90.00 gamma=90.00
Positions (direct):
Y 0.0000 0.0000 0.0000
Co 0.5000 0.5000 0.5000
Te 0.0000 0.5000 0.5000
Te 0.5000 0.0000 0.5000
I 0.5000 0.5000 0.0000

The total magnetic moment comes out at 0.000 μB per atom. The uncorrected formation energy is -21.1 kJ per mole of atoms. Its electronic total energy is -0.3597 Ry per atom. As for the density of states at the Fermi level: 4.5 states/eV per cell.

***

11.
Material: SbBrO
Method: DFT, GGA-PBEsol
State: relaxed

Unit cell a=8.2121 b=11.3164 c=9.4046 alpha=90.00 beta=104.40 gamma=90.00
Positions (direct):
Sb 0.0081 0.1821 0.2332
Sb 0.0081 0.3179 0.7332
Sb 0.2130 0.5297 0.0682
Sb 0.2130 0.9703 0.5682
Sb 0.4122 0.7388 0.8866
Sb 0.4122 0.7612 0.3866
Sb 0.5878 0.2388 0.6134
Sb 0.5878 0.2612 0.1134
Sb 0.7870 0.0297 0.4318
Sb 0.7870 0.4703 0.9318
Sb 0.9919 0.6821 0.2668
Sb 0.9919 0.8179 0.7668
Br 0.1139 0.1315 0.8874
Br 0.1139 0.3685 0.3874
Br 0.3870 0.6029 0.5834
Br 0.3870 0.8971 0.0834
Br 0.3911 0.1068 0.3358
Br 0.3911 0.3932 0.8358
Br 0.6089 0.6068 0.1642
Br 0.6089 0.8932 0.6642
Br 0.6130 0.1029 0.9166
Br 0.6130 0.3971 0.4166
Br 0.8861 0.6315 0.6126
Br 0.8861 0.8685 0.1126
O 0.0257 0.0744 0.4119
O 0.0257 0.4256 0.9119
O 0.2070 0.6567 0.9195
O 0.2070 0.8433 0.4195
O 0.2301 0.6696 0.2401
O 0.2301 0.8304 0.7401
O 0.7699 0.1696 0.2599
O 0.7699 0.3304 0.7599
O 0.7930 0.1567 0.5805
O 0.7930 0.3433 0.0805
O 0.9743 0.5744 0.0881
O 0.9743 0.9256 0.5881

As for the distance to the lowest polymorph of the same formula: 25 meV/atom. The total magnetic moment comes out at 0.000 μB per atom. The uncorrected formation energy is -99.0 kJ per mole of atoms. Its electronic total energy is -0.3615 Ry per atom. As for the density of states at the Fermi level: 0.0 states/eV per cell.

***

12.
Material: KCoSi2
Method: DFT, GGA-PBEsol
State: relaxed

Unit cell a=3.8896 b=3.8896 c=4.4058 alpha=90.00 beta=90.00 gamma=90.00
Positions (direct):
K 0.0000 0.0000 0.0000
Co 0.5000 0.5000 0.0000
Si 0.0000 0.5000 0.5000
Si 0.5000 0.0000 0.5000

As for the distance to the lowest polymorph of the same formula: 981 meV/atom. The total magnetic moment comes out at 0.279 μB per atom. The uncorrected formation energy is 89.9 kJ per mole of atoms. Its electronic total energy is -0.3057 Ry per atom. As for the density of states at the Fermi level: 5.0 states/eV per cell.

***

13.
Material: In2H2Au
Method: DFT, GGA-PBEsol
State: relaxed

Unit cell a=3.3508 b=3.3508 c=12.8205 alpha=90.00 beta=90.00 gamma=90.00
Positions (direct):
In 0.0000 0.0000 0.1378
In 0.0000 0.0000 0.8622
In 0.5000 0.5000 0.3622
In 0.5000 0.5000 0.6378
H 0.0000 0.5000 0.2500
H 0.0000 0.5000 0.7500
H 0.5000 0.0000 0.2500
H 0.5000 0.0000 0.7500
Au 0.0000 0.0000 0.5000
Au 0.5000 0.5000 0.0000

The total magnetic moment comes out at 0.000 μB per atom. Its electronic total energy is -0.2270 Ry per atom. As for the density of states at the Fermi level: 2.0 states/eV per cell.

***

14.
Material: Sr2CaTcIr
Method: DFT, GGA-PBEsol
State: relaxed

Unit cell a=5.5873 b=5.5873 c=4.7292 alpha=90.00 beta=90.00 gamma=90.00
Positions (direct):
Sr 0.0000 0.5000 0.0000
Sr 0.5000 0.0000 0.0000
Ca 0.0000 0.0000 0.5000
Tc 0.5000 0.5000 0.0000
Ir 0.5000 0.5000 0.5000

The total magnetic moment comes out at 0.002 μB per atom. As for the formation energy: 0.608 eV per atom. Its electronic total energy is -0.3508 Ry per atom. As for the density of states at the Fermi level: 5.9 states/eV per cell.

***

15.
Material: MgTaPt2
Method: DFT, GGA-PBEsol
State: relaxed

Unit cell a=2.8135 b=2.8135 c=8.2413 alpha=90.00 beta=90.00 gamma=90.00
Positions (direct):
Mg 0.0000 0.0000 0.0000
Ta 0.5000 0.5000 0.7005
Pt 0.0000 0.0000 0.4689
Pt 0.5000 0.5000 0.2197

The total magnetic moment comes out at 0.000 μB per atom. As for the formation energy: -0.291 eV per atom. Its electronic total energy is -0.5395 Ry per atom. As for the density of states at the Fermi level: 2.6 states/eV per cell.

***

16.
Material: LiPt2PbW
Method: DFT, GGA-PBEsol
State: relaxed

Unit cell a=4.9501 b=4.9501 c=4.4364 alpha=90.00 beta=90.00 gamma=90.00
Positions (direct):
Li 0.0000 0.0000 0.0000
Pt 0.0000 0.5000 0.5000
Pt 0.5000 0.0000 0.5000
Pb 0.0000 0.0000 0.5000
W 0.5000 0.5000 0.0000

The total magnetic moment comes out at 0.717 μB per atom. As for the formation energy: 1.683 eV per atom. Its electronic total energy is -0.3716 Ry per atom. As for the density of states at the Fermi level: 3.3 states/eV per cell.

***

17.
Material: Ca2AlZn2
Method: DFT, GGA-PBEsol
State: relaxed

Unit cell a=7.1943 b=7.1943 c=4.3527 alpha=90.00 beta=90.00 gamma=90.00
Positions (direct):
Ca 0.1801 0.3199 0.0000
Ca 0.3199 0.8199 0.0000
Ca 0.6801 0.1801 0.0000
Ca 0.8199 0.6801 0.0000
Al 0.0000 0.0000 0.5000
Al 0.5000 0.5000 0.5000
Zn 0.1233 0.6233 0.5000
Zn 0.3767 0.1233 0.5000
Zn 0.6233 0.8767 0.5000
Zn 0.8767 0.3767 0.5000

The total magnetic moment comes out at 0.000 μB per atom. As for the formation energy: -0.198 eV per atom. Its electronic total energy is -0.1839 Ry per atom. As for the density of states at the Fermi level: 6.9 states/eV per cell.

***

18.
Material: Sr2ZnP
Method: DFT, GGA-PBEsol
State: relaxed

Unit cell a=7.4482 b=7.4482 c=7.4482 alpha=90.00 beta=90.00 gamma=90.00
Positions (direct):
Sr 0.0000 0.0000 0.0000
Sr 0.0000 0.5000 0.5000
Sr 0.2500 0.2500 0.2500
Sr 0.2500 0.7500 0.7500
Sr 0.5000 0.0000 0.5000
Sr 0.5000 0.5000 0.0000
Sr 0.7500 0.2500 0.7500
Sr 0.7500 0.7500 0.2500
Zn 0.0000 0.0000 0.5000
Zn 0.0000 0.5000 0.0000
Zn 0.5000 0.0000 0.0000
Zn 0.5000 0.5000 0.5000
P 0.2500 0.2500 0.7500
P 0.2500 0.7500 0.2500
P 0.7500 0.2500 0.2500
P 0.7500 0.7500 0.7500

As for the distance to the lowest polymorph of the same formula: 659 meV/atom. The total magnetic moment comes out at 0.000 μB per atom. As for the formation energy: 0.003 eV per atom. Its electronic total energy is -0.2029 Ry per atom. As for the density of states at the Fermi level: 8.5 states/eV per cell.

***

19.
Material: Be2ZnSe
Method: DFT, GGA-PBEsol
State: relaxed

Unit cell a=3.2035 b=3.3197 c=10.2161 alpha=90.00 beta=90.00 gamma=90.00
Positions (direct):
Be 0.0000 0.0000 0.0000
Be 0.0000 0.5000 0.2538
Be 0.5000 0.0000 0.7538
Be 0.5000 0.5000 0.5000
Zn 0.0000 0.0000 0.4270
Zn 0.5000 0.5000 0.9270
Se 0.0000 0.5000 0.6757
Se 0.5000 0.0000 0.1757

As for the distance to the lowest polymorph of the same formula: 0 meV/atom. The total magnetic moment comes out at 0.000 μB per atom. The uncorrected formation energy is 24.3 kJ per mole of atoms. Its electronic total energy is -0.2283 Ry per atom. As for the density of states at the Fermi level: 1.4 states/eV per cell.

***

20.
Material: BaZn3Cu
Method: DFT, GGA-PBEsol
State: relaxed

Unit cell a=4.7361 b=4.7361 c=4.7361 alpha=90.00 beta=90.00 gamma=90.00
Positions (direct):
Ba 0.0000 0.0000 0.0000
Zn 0.0000 0.5000 0.5000
Zn 0.5000 0.0000 0.5000
Zn 0.5000 0.5000 0.0000
Cu 0.5000 0.5000 0.5000

The total magnetic moment comes out at 0.000 μB per atom. As for the formation energy: -0.050 eV per atom. Its electronic total energy is -0.1687 Ry per atom. As for the density of states at the Fermi level: 3.1 states/eV per cell.